# AsIrNO

Crystalline AsIrNO at its relaxed geometry (PBE, OQMD).

Total magnetization = 0.00 Bohr magnetons per cell
DFT total energy = -50.3 eV/cell

```
AsIrNO
1.0
2.725 -2.726 0.000
2.725 2.726 0.000
0.000 0.000 6.854
O As Ir N
2 2 2 2
Direct
0.750 0.250 0.000 O
0.250 0.750 0.000 O
0.250 0.250 0.140 As
0.750 0.750 0.860 As
0.750 0.250 0.500 Ir
0.250 0.750 0.500 Ir
0.750 0.750 0.378 N
0.250 0.250 0.622 N
```

***

# AsIrNO

Crystalline AsIrNO at its relaxed geometry (PBE, OQMD).

Total magnetization = 0.00 Bohr magnetons per cell
DFT total energy = -106.3 eV/cell

```
AsIrNO
1.0
-1.528 0.838 4.560
-1.410 -5.206 0.485
6.887 -1.622 2.606
O N As Ir
4 4 4 4
Direct
0.703 0.873 0.997 O
0.203 0.127 0.003 O
0.203 0.627 0.997 O
0.703 0.373 0.003 O
0.620 0.630 0.665 N
0.120 0.870 0.665 N
0.620 0.130 0.335 N
0.120 0.370 0.335 N
0.387 0.423 0.842 As
0.887 0.077 0.842 As
0.887 0.577 0.158 As
0.387 0.923 0.158 As
0.993 0.045 0.441 Ir
0.993 0.545 0.559 Ir
0.493 0.455 0.441 Ir
0.493 0.955 0.559 Ir
```

***

What is the DFT total energy in the first record? -50.3 eV/cell